Record 1
PmSm2Ho after structural relaxation, computed with GGA-PBE.

Output
space group	R3m, No. 160
E	-4.676	eV per atom
energy relative to the elements	0.02	eV/atom

a b c (Å): 3.6234 3.6234 11.8894
angles (deg): 81.24 81.24 60.00
Closest atoms and distances in Å follow each position.
Positions (direct):
1 Pm 0.5000 0.5000 0.5000  6 Pm 3.62, 6 Sm 3.63
2 Sm 0.0820 0.0820 0.7539  3 Ho 3.56, 6 Sm 3.62, 3 Pm 3.63
3 Sm 0.2512 0.2512 0.2464  3 Ho 3.57, 6 Sm 3.62, 3 Pm 3.63
4 Ho 0.6668 0.6668 0.9997  6 Sm 3.56-3.57, 6 Ho 3.62

---

Record 2
Pm3SmHo12 after structural relaxation, computed with GGA-PBE.

Output
space group	P4/mmm, No. 123
E	-4.599	eV per atom
energy relative to the elements	0.02	eV/atom

a b c (Å): 5.0265 5.0265 20.1390
angles (deg): 90.00 90.00 90.00
Closest atoms and distances in Å follow each position.
Positions (direct):
1 Pm 0.0000 0.0000 0.2498  12 Ho 3.55-3.56
2 Pm 0.0000 0.0000 0.5000  12 Ho 3.55-3.56
3 Pm 0.0000 0.0000 0.7502  12 Ho 3.55-3.56
4 Sm 0.0000 0.0000 0.0000  12 Ho 3.55
5 Ho 0.5000 0.5000 0.0000  8 Ho 3.55, 4 Sm 3.55
6 Ho 0.5000 0.5000 0.2497  4 Pm 3.55, 8 Ho 3.56
7 Ho 0.5000 0.5000 0.5000  4 Pm 3.55, 8 Ho 3.56
8 Ho 0.5000 0.5000 0.7503  4 Pm 3.55, 8 Ho 3.56
9 Ho 0.5000 0.0000 0.1247  8 Ho 3.55-3.56, 2 Sm 3.55, 2 Pm 3.56
10 Ho 0.5000 0.0000 0.3748  8 Ho 3.55-3.56, 4 Pm 3.56
11 Ho 0.5000 0.0000 0.6252  8 Ho 3.55-3.56, 4 Pm 3.56
12 Ho 0.5000 0.0000 0.8753  8 Ho 3.55-3.56, 2 Sm 3.55, 2 Pm 3.56
13 Ho 0.0000 0.5000 0.1247  8 Ho 3.55-3.56, 2 Sm 3.55, 2 Pm 3.56
14 Ho 0.0000 0.5000 0.3748  8 Ho 3.55-3.56, 4 Pm 3.56
15 Ho 0.0000 0.5000 0.6252  8 Ho 3.55-3.56, 4 Pm 3.56
16 Ho 0.0000 0.5000 0.8753  8 Ho 3.55-3.56, 2 Sm 3.55, 2 Pm 3.56

---

Record 3
Pm3Sm6Ho2 after structural relaxation, computed with GGA-PBE.

Output
space group	I4/mmm, No. 139
E	-4.426	eV per atom
energy relative to the elements	0.28	eV/atom

a b c (Å): 4.8030 4.8030 17.1182
angles (deg): 98.06 98.06 90.00
Closest atoms and distances in Å follow each position.
Positions (direct):
1 Pm 0.0000 0.0000 0.0000  8 Ho 3.72
2 Pm 0.7995 0.7995 0.5990  9 Sm 3.40-3.62
3 Pm 0.2005 0.2005 0.4010  9 Sm 3.40-3.62
4 Sm 0.1198 0.6198 0.2396  6 Sm 3.40-3.53, 2 Ho 3.46, 2 Pm 3.62
5 Sm 0.6198 0.1198 0.2396  6 Sm 3.40-3.53, 2 Ho 3.46, 2 Pm 3.62
6 Sm 0.8802 0.3802 0.7604  6 Sm 3.40-3.53, 2 Ho 3.46, 2 Pm 3.62
7 Sm 0.3802 0.8802 0.7604  6 Sm 3.40-3.53, 2 Ho 3.46, 2 Pm 3.62
8 Sm 0.6969 0.6969 0.3939  5 Pm 3.40-3.44, 4 Sm 3.53
9 Sm 0.3031 0.3031 0.6061  5 Pm 3.40-3.44, 4 Sm 3.53
10 Ho 0.4545 0.4545 0.9089  1 Ho 3.06
11 Ho 0.5455 0.5455 0.0911  1 Ho 3.06

---

Record 4
Pm2Sm2Ho5 after structural relaxation, computed with GGA-PBE.

Output
space group	C2/m, No. 12
E	-4.638	eV per atom
energy relative to the elements	0.01	eV/atom

a b c (Å): 9.5317 9.5317 9.5843
angles (deg): 64.82 64.82 21.80
Closest atoms and distances in Å follow each position.
Positions (direct):
1 Pm 0.8149 0.8149 0.3308  6 Ho 3.54-3.61, 4 Pm 3.58-3.61, 2 Sm 3.61
2 Pm 0.1851 0.1851 0.6692  6 Ho 3.54-3.61, 4 Pm 3.58-3.61, 2 Sm 3.61
3 Sm 0.4817 0.4817 0.3333  7 Ho 3.55-3.59, 3 Sm 3.55-3.61, 2 Pm 3.61
4 Sm 0.5183 0.5183 0.6667  7 Ho 3.55-3.59, 3 Sm 3.55-3.61, 2 Pm 3.61
5 Ho 0.6669 0.6669 0.0015  9 Ho 3.51-3.61, 2 Pm 3.55, 1 Sm 3.55
6 Ho 0.3331 0.3331 0.9985  9 Ho 3.51-3.61, 2 Pm 3.55, 1 Sm 3.55
7 Ho 0.8516 0.8516 0.6709  5 Ho 3.51-3.61, 4 Sm 3.58-3.59, 3 Pm 3.61
8 Ho 0.1484 0.1484 0.3291  5 Ho 3.51-3.61, 4 Sm 3.58-3.59, 3 Pm 3.61
9 Ho 0.0000 0.0000 0.0000  2 Pm 3.54, 4 Sm 3.55, 6 Ho 3.61

---

Record 5
Pm7Sm16Ho6 after structural relaxation, computed with GGA-PBE.

Output
space group	Fm-3m, No. 225
E	-4.462	eV per atom
energy relative to the elements	0.24	eV/atom

a b c (Å): 11.2940 11.2940 11.2940
angles (deg): 60.00 60.00 60.00
Closest atoms and distances in Å follow each position.
Positions (direct):
1 Pm 0.0000 0.0000 0.0000  8 Sm 3.47
2 Pm 0.5000 0.0000 0.5000  8 Sm 3.29-3.45
3 Pm 0.0000 0.5000 0.0000  8 Sm 3.29-3.45
4 Pm 0.0000 0.5000 0.5000  8 Sm 3.29-3.45
5 Pm 0.5000 0.0000 0.0000  8 Sm 3.29-3.45
6 Pm 0.0000 0.0000 0.5000  8 Sm 3.29-3.45
7 Pm 0.5000 0.5000 0.0000  8 Sm 3.29-3.45
8 Sm 0.8745 0.8745 0.3766  4 Pm 3.45-3.47, 3 Ho 3.61, 3 Sm 3.62
9 Sm 0.8745 0.8745 0.8745  4 Pm 3.45-3.47, 3 Ho 3.61, 3 Sm 3.62
10 Sm 0.8745 0.3766 0.8745  4 Pm 3.45-3.47, 3 Ho 3.61, 3 Sm 3.62
11 Sm 0.3766 0.8745 0.8745  4 Pm 3.45-3.47, 3 Ho 3.61, 3 Sm 3.62
12 Sm 0.1255 0.1255 0.1255  4 Pm 3.45-3.47, 3 Ho 3.61, 3 Sm 3.62
13 Sm 0.1255 0.1255 0.6234  4 Pm 3.45-3.47, 3 Ho 3.61, 3 Sm 3.62
14 Sm 0.1255 0.6234 0.1255  4 Pm 3.45-3.47, 3 Ho 3.61, 3 Sm 3.62
15 Sm 0.6234 0.1255 0.1255  4 Pm 3.45-3.47, 3 Ho 3.61, 3 Sm 3.62
16 Sm 0.6508 0.6508 0.0477  3 Pm 3.29, 3 Sm 3.62, 3 Ho 3.66
17 Sm 0.6508 0.6508 0.6508  3 Pm 3.29, 3 Sm 3.62, 3 Ho 3.66
18 Sm 0.6508 0.0477 0.6508  3 Pm 3.29, 3 Sm 3.62, 3 Ho 3.66
19 Sm 0.0477 0.6508 0.6508  3 Pm 3.29, 3 Sm 3.62, 3 Ho 3.66
20 Sm 0.3492 0.3492 0.3492  3 Pm 3.29, 3 Sm 3.62, 3 Ho 3.66
21 Sm 0.3492 0.3492 0.9523  3 Pm 3.29, 3 Sm 3.62, 3 Ho 3.66
22 Sm 0.3492 0.9523 0.3492  3 Pm 3.29, 3 Sm 3.62, 3 Ho 3.66
23 Sm 0.9523 0.3492 0.3492  3 Pm 3.29, 3 Sm 3.62, 3 Ho 3.66
24 Ho 0.2657 0.7343 0.2657  8 Sm 3.61-3.66, 4 Pm 4.00
25 Ho 0.7343 0.2657 0.7343  8 Sm 3.61-3.66, 4 Pm 4.00
26 Ho 0.7343 0.2657 0.2657  8 Sm 3.61-3.66, 4 Pm 4.00
27 Ho 0.2657 0.7343 0.7343  8 Sm 3.61-3.66, 4 Pm 4.00
28 Ho 0.7343 0.7343 0.2657  8 Sm 3.61-3.66, 4 Pm 4.00
29 Ho 0.2657 0.2657 0.7343  8 Sm 3.61-3.66, 4 Pm 4.00

---

Record 6
Pm2Sm6Ho3 after structural relaxation, computed with GGA-PBE.

Output
space group	I4/mmm, No. 139
E	-4.406	eV per atom
energy relative to the elements	0.28	eV/atom

a b c (Å): 4.7789 4.7789 17.1823
angles (deg): 97.99 97.99 90.00
Closest atoms and distances in Å follow each position.
Positions (direct):
1 Pm 0.4545 0.4545 0.9090  1 Pm 3.07
2 Pm 0.5455 0.5455 0.0910  1 Pm 3.07
3 Sm 0.1216 0.6216 0.2432  6 Sm 3.38-3.53, 2 Pm 3.50, 2 Ho 3.55
4 Sm 0.6216 0.1216 0.2432  6 Sm 3.38-3.53, 2 Pm 3.50, 2 Ho 3.55
5 Sm 0.8784 0.3784 0.7568  6 Sm 3.38-3.53, 2 Pm 3.50, 2 Ho 3.55
6 Sm 0.3784 0.8784 0.7568  6 Sm 3.38-3.53, 2 Pm 3.50, 2 Ho 3.55
7 Sm 0.6986 0.6986 0.3972  5 Ho 3.38-3.43, 4 Sm 3.53
8 Sm 0.3014 0.3014 0.6028  5 Ho 3.38-3.43, 4 Sm 3.53
9 Ho 0.0000 0.0000 0.0000  8 Pm 3.71
10 Ho 0.8006 0.8006 0.6011  9 Sm 3.38-3.55
11 Ho 0.1994 0.1994 0.3989  9 Sm 3.38-3.55

---

Record 7
Pm2Sm2Ho3 after structural relaxation, computed with GGA-PBE.

Output
space group	C2/m, No. 12
E	-4.537	eV per atom
energy relative to the elements	0.13	eV/atom

a b c (Å): 3.5075 8.7776 8.6031
angles (deg): 115.81 101.76 90.00
Closest atoms and distances in Å follow each position.
Positions (direct):
1 Pm 0.9204 0.7961 0.8408  3 Pm 3.39-3.51, 4 Ho 3.41-3.53, 4 Sm 3.62-3.78
2 Pm 0.0796 0.2039 0.1592  3 Pm 3.39-3.51, 4 Ho 3.41-3.53, 4 Sm 3.62-3.78
3 Sm 0.6382 0.9074 0.2764  4 Sm 3.51-3.80, 5 Ho 3.57-3.73, 4 Pm 3.62-3.78
4 Sm 0.3618 0.0926 0.7236  4 Sm 3.51-3.80, 5 Ho 3.57-3.73, 4 Pm 3.62-3.78
5 Ho 0.0000 0.5000 0.0000  4 Ho 3.35-3.51, 2 Pm 3.41, 4 Sm 3.73
6 Ho 0.2208 0.6452 0.4416  5 Ho 3.35-3.57, 3 Pm 3.49-3.53, 3 Sm 3.57-3.63
7 Ho 0.7792 0.3548 0.5584  5 Ho 3.35-3.57, 3 Pm 3.49-3.53, 3 Sm 3.57-3.63

---

Record 8
Pm6SmHo4 after structural relaxation, computed with GGA-PBE.

Output
space group	Cmcm, No. 63
E	-4.570	eV per atom
energy relative to the elements	0.11	eV/atom

a b c (Å): 5.8531 5.6541 25.8154
angles (deg): 90.00 90.00 121.17
Closest atoms and distances in Å follow each position.
Positions (direct):
1 Pm 0.5000 0.0000 0.0000  8 Ho 3.21-3.58
2 Pm 0.5000 0.0000 0.5000  8 Ho 3.21-3.58
3 Pm 0.1205 0.2410 0.3187  5 Pm 3.55-3.81, 4 Ho 3.56-3.66, 3 Sm 3.69-3.78
4 Pm 0.8795 0.7590 0.6813  5 Pm 3.55-3.81, 4 Ho 3.56-3.66, 3 Sm 3.69-3.78
5 Pm 0.8795 0.7590 0.8187  5 Pm 3.55-3.81, 4 Ho 3.56-3.66, 3 Sm 3.69-3.78
6 Pm 0.1205 0.2410 0.1813  5 Pm 3.55-3.81, 4 Ho 3.56-3.66, 3 Sm 3.69-3.78
7 Pm 0.7977 0.5954 0.3994  6 Ho 3.35-3.71
8 Pm 0.2023 0.4046 0.6006  6 Ho 3.35-3.71
9 Pm 0.2023 0.4046 0.8994  6 Ho 3.35-3.71
10 Pm 0.7977 0.5954 0.1006  6 Ho 3.35-3.71
11 Pm 0.4473 0.8946 0.2500  2 Ho 3.27, 3 Sm 3.28-3.32, 2 Pm 3.62
12 Pm 0.5527 0.1054 0.7500  2 Ho 3.27, 3 Sm 3.28-3.32, 2 Pm 3.62
13 Sm 0.7858 0.5717 0.2500  3 Pm 3.28-3.32
14 Sm 0.2142 0.4283 0.7500  3 Pm 3.28-3.32
15 Ho 0.8508 0.7017 0.5436  8 Pm 3.45-3.76, 2 Ho 3.60-3.66
16 Ho 0.4544 0.9088 0.1233  6 Pm 3.21-3.56
17 Ho 0.1492 0.2983 0.4564  8 Pm 3.45-3.76, 2 Ho 3.60-3.66
18 Ho 0.5456 0.0912 0.8767  6 Pm 3.21-3.56
19 Ho 0.8508 0.7017 0.9564  8 Pm 3.45-3.76, 2 Ho 3.60-3.66
20 Ho 0.1492 0.2983 0.0436  8 Pm 3.45-3.76, 2 Ho 3.60-3.66
21 Ho 0.5456 0.0912 0.6233  6 Pm 3.21-3.56
22 Ho 0.4544 0.9088 0.3767  6 Pm 3.21-3.56

---

Record 9
Pm2SmHo12 after structural relaxation, computed with GGA-PBE.

Output
space group	P4/nbm, No. 125
E	-4.243	eV per atom
energy relative to the elements	0.37	eV/atom

a b c (Å): 6.4310 6.4310 24.6529
angles (deg): 90.00 90.00 90.00
Closest atoms and distances in Å follow each position.
Positions (direct):
1 Pm 0.5000 0.0000 0.2599  8 Ho 3.42-3.74
2 Pm 0.0000 0.5000 0.2599  8 Ho 3.42-3.74
3 Pm 0.0000 0.5000 0.7401  8 Ho 3.42-3.74
4 Pm 0.5000 0.0000 0.7401  8 Ho 3.42-3.74
5 Sm 0.5000 0.0000 0.0000  8 Ho 3.60
6 Sm 0.0000 0.5000 0.0000  8 Ho 3.60
7 Ho 0.5000 0.5000 0.7874  5 Ho 3.09-3.34, 4 Pm 3.42
8 Ho 0.0000 0.0000 0.7874  5 Ho 3.09-3.34, 4 Pm 3.42
9 Ho 0.7505 0.7495 0.8868  6 Ho 3.22-3.34, 1 Sm 3.60
10 Ho 0.2505 0.7505 0.8868  6 Ho 3.22-3.34, 1 Sm 3.60
11 Ho 0.0000 0.0000 0.3377  1 Ho 3.09
12 Ho 0.2495 0.7495 0.1132  6 Ho 3.22-3.34, 1 Sm 3.60
13 Ho 0.8312 0.3312 0.5609  6 Ho 3.07-3.38
14 Ho 0.5000 0.5000 0.3377  1 Ho 3.09
15 Ho 0.2495 0.2505 0.8868  6 Ho 3.22-3.34, 1 Sm 3.60
16 Ho 0.7495 0.7505 0.1132  6 Ho 3.22-3.34, 1 Sm 3.60
17 Ho 0.3312 0.1688 0.5609  6 Ho 3.07-3.38
18 Ho 0.6688 0.1688 0.4391  6 Ho 3.07-3.38
19 Ho 0.0000 0.0000 0.6623  1 Ho 3.09
20 Ho 0.1688 0.3312 0.4391  6 Ho 3.07-3.38
21 Ho 0.2505 0.2495 0.1132  6 Ho 3.22-3.34, 1 Sm 3.60
22 Ho 0.8312 0.6688 0.4391  6 Ho 3.07-3.38
23 Ho 0.6688 0.8312 0.5609  6 Ho 3.07-3.38
24 Ho 0.0000 0.0000 0.2126  5 Ho 3.09-3.34, 4 Pm 3.42
25 Ho 0.1688 0.6688 0.5609  6 Ho 3.07-3.38
26 Ho 0.5000 0.5000 0.6623  1 Ho 3.09
27 Ho 0.7495 0.2495 0.8868  6 Ho 3.22-3.34, 1 Sm 3.60
28 Ho 0.5000 0.5000 0.2126  5 Ho 3.09-3.34, 4 Pm 3.42
29 Ho 0.3312 0.8312 0.4391  6 Ho 3.07-3.38
30 Ho 0.7505 0.2505 0.1132  6 Ho 3.22-3.34, 1 Sm 3.60

---

Record 10
Pm2SmHo7 after structural relaxation, computed with GGA-PBE.

Output
space group	P-1, No. 2
E	-4.574	eV per atom
energy relative to the elements	0.05	eV/atom

a b c (Å): 5.4448 8.8959 9.4720
angles (deg): 118.02 106.70 52.23
Closest atoms and distances in Å follow each position.
Positions (direct):
1 Pm 0.5006 0.6983 0.3970  9 Ho 3.21-3.58
2 Pm 0.4994 0.3017 0.6030  9 Ho 3.21-3.58
3 Sm 0.0000 0.0000 0.0000  12 Ho 3.34-3.71
4 Ho 0.0000 0.8004 0.6003  4 Pm 3.21-3.52, 1 Sm 3.34, 4 Ho 3.59
5 Ho 0.0000 0.1996 0.3997  4 Pm 3.21-3.52, 1 Sm 3.34, 4 Ho 3.59
6 Ho 0.7497 0.6424 0.7848  8 Ho 3.51-3.71, 3 Pm 3.58-3.69, 2 Sm 3.70-3.71
7 Ho 0.2503 0.3576 0.2152  8 Ho 3.51-3.71, 3 Pm 3.58-3.69, 2 Sm 3.70-3.71
8 Ho 0.7509 0.8570 0.2154  8 Ho 3.51-3.71, 3 Pm 3.58-3.69, 2 Sm 3.71
9 Ho 0.2491 0.1430 0.7846  8 Ho 3.51-3.71, 3 Pm 3.58-3.69, 2 Sm 3.71
10 Ho 0.5000 0.5000 0.0000  2 Pm 3.32, 2 Sm 3.52, 8 Ho 3.70-3.71

---

Record 11
Pm4Sm4Ho3 after structural relaxation, computed with GGA-PBE.

Output
space group	P-1, No. 2
E	-4.637	eV per atom
energy relative to the elements	0.06	eV/atom

a b c (Å): 3.5562 5.6969 18.2941
angles (deg): 81.09 84.41 90.00
Closest atoms and distances in Å follow each position.
Positions (direct):
1 Pm 0.5904 0.0911 0.8194  3 Sm 3.23-3.27, 2 Pm 3.56
2 Pm 0.2678 0.2675 0.4648  4 Sm 3.41-3.62, 6 Pm 3.56-3.59
3 Pm 0.7322 0.7325 0.5352  4 Sm 3.41-3.62, 6 Pm 3.56-3.59
4 Pm 0.4096 0.9089 0.1806  3 Sm 3.23-3.27, 2 Pm 3.56
5 Sm 0.5460 0.5467 0.9084  2 Pm 3.27, 3 Sm 3.29-3.56
6 Sm 0.4540 0.4533 0.0916  2 Pm 3.27, 3 Sm 3.29-3.56
7 Sm 0.3198 0.8197 0.3601  3 Pm 3.23-3.42, 2 Sm 3.56
8 Sm 0.6802 0.1803 0.6399  3 Pm 3.23-3.42, 2 Sm 3.56
9 Ho 0.1361 0.6363 0.7283  2 Ho 3.56, 6 Sm 3.69-3.72, 6 Pm 3.74-3.90
10 Ho 0.8639 0.3638 0.2717  2 Ho 3.56, 6 Sm 3.69-3.72, 6 Pm 3.74-3.90
11 Ho 0.0000 0.0000 0.0000  2 Ho 3.56, 4 Pm 3.70, 8 Sm 3.73-3.75

---

Record 12
Pm2SmHo2 after structural relaxation, computed with GGA-PBE.

Output
space group	C2/m, No. 12
E	-4.654	eV per atom
energy relative to the elements	0.02	eV/atom

a b c (Å): 3.6007 3.6007 15.0690
angles (deg): 96.81 83.14 60.00
Closest atoms and distances in Å follow each position.
Positions (direct):
1 Pm 0.2287 0.4392 0.1034  3 Ho 3.57, 9 Pm 3.60-3.68
2 Pm 0.7713 0.5608 0.8966  3 Ho 3.57, 9 Pm 3.60-3.68
3 Sm 0.5000 0.5000 0.5000  6 Ho 3.57, 6 Sm 3.60
4 Ho 0.6360 0.0296 0.6983  3 Sm 3.57, 3 Pm 3.57, 6 Ho 3.60
5 Ho 0.3640 0.9704 0.3017  3 Sm 3.57, 3 Pm 3.57, 6 Ho 3.60